[1]
Mg2AgO GGA-PBEsol optimized geometry; volume = 16.56 Å³/atom; magnetic moment = 0.00 μB per atom; formation energy without anion corrections = -1.11 eV per atom; uncorrected energy = -4.11 eV per atom
1.0
-2.8058 4.8134 -0.5796
1.2628 -2.5465 -4.8268
-2.8941 -4.0859 2.5114
O Mg Ag
2 4 2
Direct
0.0000 0.5000 0.5000
0.5000 0.2500 0.7500
0.1068 0.2318 0.6250
0.3932 0.8750 0.7682
0.8932 0.5182 0.1250
0.6068 0.3750 0.4818
0.0000 0.0000 0.0000
0.5000 0.7500 0.2500

=====

[2]
Mg3AgO GGA-PBEsol optimized geometry; volume = 24.35 Å³/atom; magnetic moment = 0.14 μB per atom; formation energy without anion corrections = 0.43 eV per atom; uncorrected energy = -2.31 eV per atom
1.0
-3.5896 2.7580 -2.0180
1.9436 -0.7596 -4.4955
-2.8109 -4.0473 -0.5315
Ag Mg O
1 3 1
Direct
0.0000 0.0000 0.0000
0.0000 0.0000 0.5000
0.0000 0.5000 0.0000
0.5000 0.0000 0.0000
0.5000 0.5000 0.5000

=====

[3]
MgAg2O4 GGA-PBEsol optimized geometry; relative energy among the computed polymorphs = 66 meV/atom; volume = 11.35 Å³/atom; magnetic moment = 0.00 μB per atom; formation energy without anion corrections = -0.69 eV per atom; uncorrected energy = -4.88 eV per atom
1.0
-5.8517 -0.5491 -0.7317
1.7056 -1.6505 5.4265
-3.0726 3.5275 3.6326
O Mg Ag
8 2 4
Direct
0.4470 0.2196 0.3335
0.5527 0.2734 0.7794
0.5530 0.7804 0.6665
0.9470 0.7804 0.2726
0.9473 0.6679 0.7794
0.4473 0.7266 0.2206
0.0527 0.3321 0.2206
0.0530 0.2196 0.7274
0.0000 0.0000 0.5000
0.5000 0.5000 0.5000
0.7500 0.0977 0.1523
0.0000 0.5000 0.5000
0.2500 0.9023 0.8477
0.5000 0.5000 0.0000

=====

[4]
MgAg2O4 GGA-PBEsol optimized geometry; relative energy among the computed polymorphs = 0 meV/atom; volume = 11.42 Å³/atom; magnetic moment = 0.00 μB per atom; formation energy without anion corrections = -0.76 eV per atom; uncorrected energy = -4.95 eV per atom
1.0
3.1197 0.0000 0.0000
0.0000 9.6246 0.0000
0.0000 0.0000 10.6519
O Ag Mg
16 8 4
Direct
0.8622 0.3763 0.4509
0.1376 0.7500 0.7872
0.8622 0.1237 0.4509
0.4777 0.0000 0.2500
0.1378 0.3763 0.9509
0.1376 0.2500 0.7128
0.8624 0.2500 0.2128
0.1378 0.6237 0.5491
0.8622 0.6237 0.0491
0.8622 0.8763 0.0491
0.4777 0.5000 0.2500
0.1378 0.1237 0.9509
0.5223 0.0000 0.7500
0.1378 0.8763 0.5491
0.8624 0.7500 0.2872
0.5223 0.5000 0.7500
0.8440 0.0716 0.1153
0.8440 0.5716 0.3847
0.1560 0.5716 0.8847
0.1560 0.9284 0.8847
0.8440 0.4284 0.1153
0.1560 0.4284 0.6153
0.1560 0.0716 0.6153
0.8440 0.9284 0.3847
0.3668 0.7500 0.1466
0.6332 0.7500 0.6466
0.3668 0.2500 0.3534
0.6332 0.2500 0.8534

=====

[5]
MgTiAgP3O12 GGA-PBEsol optimized geometry; volume = 12.40 Å³/atom; magnetic moment = 0.00 μB per atom; formation energy without anion corrections = -2.09 eV per atom; uncorrected energy = -7.29 eV per atom
1.0
-2.8206 -1.7232 -7.7700
2.1665 -7.4079 -3.4244
-6.0082 -5.8793 -0.7959
Ti P O Mg Ag
2 6 24 2 2
Direct
0.1440 0.1440 0.1440
0.6440 0.6440 0.6440
0.0474 0.7571 0.4449
0.4449 0.0474 0.7571
0.5474 0.9449 0.2571
0.9449 0.2571 0.5474
0.2571 0.5474 0.9449
0.7571 0.4449 0.0474
0.5917 0.0293 0.8251
0.7504 0.4154 0.5508
0.1921 0.3767 0.0046
0.5046 0.8767 0.6921
0.1019 0.7423 0.9286
0.0508 0.9154 0.2504
0.2504 0.0508 0.9154
0.6019 0.4286 0.2423
0.0917 0.3251 0.5293
0.8251 0.5917 0.0293
0.8767 0.6921 0.5046
0.3251 0.5293 0.0917
0.6921 0.5046 0.8767
0.4286 0.2423 0.6019
0.9286 0.1019 0.7423
0.5508 0.7504 0.4154
0.3767 0.0046 0.1921
0.7423 0.9286 0.1019
0.0293 0.8251 0.5917
0.0046 0.1921 0.3767
0.5293 0.0917 0.3251
0.2423 0.6019 0.4286
0.4154 0.5508 0.7504
0.9154 0.2504 0.0508
0.4952 0.4952 0.4952
0.9952 0.9952 0.9952
0.8523 0.8523 0.8523
0.3523 0.3523 0.3523

=====

[6]
Mg2AgWO6 GGA-PBEsol optimized geometry; relative energy among the computed polymorphs = 9 meV/atom; volume = 11.27 Å³/atom; magnetic moment = 0.00 μB per atom; formation energy without anion corrections = -1.92 eV per atom; uncorrected energy = -7.12 eV per atom
1.0
-2.6094 1.8751 -3.9865
-4.3172 0.4698 3.0469
2.2555 7.7326 2.0035
O Ag Mg W
12 2 4 2
Direct
0.1626 0.7756 0.1233
0.8374 0.2244 0.8767
0.3570 0.1437 0.6939
0.1801 0.8289 0.4711
0.1430 0.6437 0.8061
0.6626 0.7244 0.6233
0.6801 0.6711 0.9711
0.3199 0.3289 0.0289
0.8199 0.1711 0.5289
0.6430 0.8563 0.3061
0.8570 0.3563 0.1939
0.3374 0.2756 0.3767
0.5000 0.0000 0.0000
0.0000 0.5000 0.5000
0.5038 0.4690 0.7846
0.0038 0.0310 0.2846
0.9962 0.9690 0.7154
0.4962 0.5310 0.2154
0.0000 0.5000 0.0000
0.5000 0.0000 0.5000

=====

[7]
Mg2AgWO6 GGA-PBEsol optimized geometry; relative energy among the computed polymorphs = 0 meV/atom; volume = 11.34 Å³/atom; magnetic moment = 0.09 μB per atom; formation energy without anion corrections = -1.93 eV per atom; uncorrected energy = -7.13 eV per atom
1.0
5.1407 0.0069 0.0026
2.5452 4.6466 0.0088
0.0326 2.8250 4.7564
W O Mg Ag
1 6 2 1
Direct
0.9872 0.0209 0.9796
0.0300 0.6029 0.1397
0.9283 0.4481 0.7083
0.7149 0.2028 0.1727
0.5927 0.2284 0.6920
0.3567 0.9023 0.1828
0.1731 0.9053 0.6990
0.2832 0.4288 0.8774
0.7773 0.4305 0.3695
0.4987 0.9974 0.5080

=====

[8]
MgAgOs2 GGA-PBEsol optimized geometry; volume = 15.30 Å³/atom; magnetic moment = 0.00 μB per atom; uncorrected energy = -6.78 eV per atom
1.0
-1.6198 3.3294 0.1530
-2.0890 -0.8816 -2.9311
-1.2687 -2.8684 4.1095
Os Mg Ag
2 1 1
Direct
0.7500 0.2500 0.5000
0.2500 0.7500 0.5000
0.0000 0.0000 0.0000
0.5000 0.5000 0.0000